[1]
A geometry-optimized Pa3Si2Ni6 structure, computed with PBE.

```
22
Lattice="-4.356 4.356 4.356 4.356 -4.356 4.356 4.356 4.356 -4.356" Properties=species:S:1:pos:R:3 pbc="T T T"
Pa 2.400 0.000 0.000
Pa 6.313 0.000 0.000
Pa 0.000 2.400 0.000
Pa 0.000 0.000 2.400
Pa 0.000 6.313 0.000
Pa 0.000 0.000 6.313
Si 2.178 2.178 -2.178
Si 2.178 -2.178 2.178
Si -2.178 2.178 2.178
Si 2.178 2.178 2.178
Ni 4.356 1.381 -1.381
Ni 4.356 -1.381 1.381
Ni 4.356 1.381 1.381
Ni 1.381 4.356 -1.381
Ni 2.976 2.976 0.000
Ni 1.381 -1.381 4.356
Ni 2.976 0.000 2.976
Ni -1.381 4.356 1.381
Ni 1.381 4.356 1.381
Ni -1.381 1.381 4.356
Ni 1.381 1.381 4.356
Ni 0.000 2.976 2.976
```

The value obtained for the uncorrected energy is -7.33 eV/atom. Its space-group type is No. 229. The crystal system is cubic. The calculation puts the density of states at the Fermi level at 14.128 states/eV/f.u.

=====

[2]
A geometry-optimized TlMoIN2 structure, computed with PBE.

```
5
Lattice="4.144 0.000 0.000 0.000 4.144 0.000 0.000 0.000 5.767" Properties=species:S:1:pos:R:3 pbc="T T T"
Tl 0.000 0.000 0.000
Mo 2.072 2.072 2.883
I 2.072 2.072 0.000
N 0.000 2.072 2.883
N 2.072 0.000 2.883
```

The value obtained for the uncorrected energy is -5.61 eV/atom. Its space-group type is No. 123. The crystal system is tetragonal. The calculation puts the density of states at the Fermi level at 2.201 states/eV/f.u.

=====

[3]
A geometry-optimized TlSiTc2 structure, computed with PBE.

```
4
Lattice="3.146 0.000 0.000 0.000 3.146 0.000 0.000 0.000 6.704" Properties=species:S:1:pos:R:3 pbc="T T T"
Tl 0.000 0.000 0.000
Si 1.573 1.573 2.085
Tc 0.000 0.000 3.168
Tc 1.573 1.573 4.803
```

The value obtained for the uncorrected energy is -6.88 eV/atom. Its space-group type is No. 99. The crystal system is tetragonal. The calculation puts the density of states at the Fermi level at 3.203 states/eV/f.u.

=====

Which value of uncorrected energy does entry 3 give? -6.88 eV/atom

=====

Look up the density of states at the Fermi level of the third one. 3.203 states/eV/f.u.